First-principles (SCAN) data for a PBEsol-optimized structure of CuAgOs2, as listed in the Alexandria database.

Cell and atoms, written as extended XYZ:
```
4
Lattice="-2.524 2.491 -0.919 -2.450 -2.674 -0.519 1.310 0.387 4.753" Properties=species:S:1:pos:R:3 pbc="T T T"
Ag -2.487 -0.091 -0.719
Cu 0.000 0.000 0.000
Os -1.851 1.393 1.557
Os -1.813 -1.189 1.757
```

Summary:
total energy	-46.7748	eV per atom
ΔE_f	0.807	eV per atom
space group	I4/mmm (139)
energy relative to the lowest polymorph listed for this composition	1.20	eV per formula unit


First-principles (SCAN) data for a PBEsol-optimized structure of SiMo4Ir, as listed in the Alexandria database.

Cell and atoms, written as extended XYZ:
```
6
Lattice="5.079 0.000 0.000 2.540 4.399 0.000 2.540 1.466 4.147" Properties=species:S:1:pos:R:3 pbc="T T T"
Ir 0.000 0.000 0.000
Mo 5.079 2.933 0.533
Mo 3.821 3.659 2.587
Mo 5.079 1.480 2.587
Mo 6.337 3.659 2.587
Si 2.540 1.466 1.037
```

Summary:
formation energy (no corrections)	470.9	meV per atom
total energy	-36.3051	eV per atom
space group	F-43m (216)


First-principles (SCAN) data for a PBEsol-optimized structure of KCr2AgO7, as listed in the Alexandria database.

Cell and atoms, written as extended XYZ:
```
44
Lattice="-0.085 -2.313 5.263 5.826 -4.345 -1.815 9.510 10.719 4.864" Properties=species:S:1:pos:R:3 pbc="T T T"
K 11.198 3.920 6.614
K 7.665 -2.351 3.801
K 4.053 0.141 1.698
K 7.585 6.412 4.511
Cr 13.616 6.028 4.439
Cr 9.095 6.669 7.788
Cr 5.203 0.666 5.087
Cr 8.240 1.132 2.201
Cr 6.155 -2.608 0.524
Cr 7.010 2.929 6.111
Cr 10.047 3.395 3.224
Cr 1.634 -1.967 3.872
Ag 5.197 3.578 3.226
Ag 4.229 -4.078 2.987
Ag 11.022 8.139 5.325
Ag 10.053 0.483 5.085
O 5.476 -1.475 -0.451
O 8.570 3.254 6.279
O 2.367 -2.004 2.398
O 5.437 -2.552 1.998
O 7.742 -2.402 0.640
O 4.406 0.634 6.522
O 6.227 2.910 7.559
O 12.883 6.065 5.913
O 8.453 2.724 2.904
O 13.587 4.561 3.794
O 4.446 1.711 4.072
O 10.805 2.350 4.239
O 7.508 6.463 7.672
O 9.774 5.536 8.763
O 9.814 6.613 6.313
O 8.983 0.068 3.215
O 9.944 4.861 3.867
O 6.798 1.337 5.408
O 9.486 8.237 8.483
O 9.023 1.151 0.752
O 1.663 -0.500 4.517
O 5.306 -0.800 4.444
O 5.764 -4.176 -0.172
O 10.844 3.427 1.790
O 2.327 -3.087 4.861
O 12.923 7.148 3.451
O 6.267 3.993 5.097
O 6.680 0.807 2.033
```

Summary:
formation energy (no corrections)	-1746.3	meV per atom
total energy	-12.6630	eV per atom
space group	Pnma (62)


First-principles (SCAN) data for a PBEsol-optimized structure of ZrNbFe4, as listed in the Alexandria database.

Cell and atoms, written as extended XYZ:
```
6
Lattice="4.817 0.000 0.000 2.408 4.172 0.000 2.408 1.391 3.933" Properties=species:S:1:pos:R:3 pbc="T T T"
Zr 0.000 0.000 0.000
Nb 7.225 4.172 2.950
Fe 6.020 2.087 1.475
Fe 3.614 2.087 1.475
Fe 4.817 4.170 1.475
Fe 4.817 2.781 3.440
```

Summary:
total energy	-22.8609	eV per atom
ΔE_f	-0.136	eV per atom
space group	F-43m (216)
energy relative to the lowest polymorph listed for this composition	0.00	eV per formula unit


First-principles (SCAN) data for a PBEsol-optimized structure of ScAlPO2, as listed in the Alexandria database.

Cell and atoms, written as extended XYZ:
```
5
Lattice="-0.461 -1.840 3.388 3.855 -0.282 0.372 0.097 4.734 2.584" Properties=species:S:1:pos:R:3 pbc="T T T"
Sc 0.000 0.000 0.000
P 0.049 2.367 1.292
Al 1.746 1.306 3.172
O 1.927 -0.141 0.186
O -0.231 -0.920 1.694
```

Summary:
formation energy (no corrections)	-1161.5	meV per atom
total energy	-10.1315	eV per atom
space group	P4/mmm (123)
energy relative to the lowest polymorph listed for this composition	3.00	eV per formula unit


First-principles (SCAN) data for a PBEsol-optimized structure of Y2SiPt, as listed in the Alexandria database.

Cell and atoms, written as extended XYZ:
```
4
Lattice="3.941 0.000 0.000 0.000 4.128 0.000 -1.970 0.000 5.299" Properties=species:S:1:pos:R:3 pbc="T T T"
Y 0.000 0.000 1.143
Y 0.000 2.064 4.145
Si 1.970 2.064 1.858
Pt 1.970 0.000 3.451
```

Summary:
formation energy (no corrections)	-1204.5	meV per atom
total energy	-35.1782	eV per atom
space group	Amm2 (38)


First-principles (SCAN) data for a PBEsol-optimized structure of ZnRu2Au, as listed in the Alexandria database.

Cell and atoms, written as extended XYZ:
```
4
Lattice="2.991 0.000 0.000 0.000 4.421 0.000 -1.495 -2.210 4.289" Properties=species:S:1:pos:R:3 pbc="T T T"
Au 0.000 2.210 2.054
Ru 0.000 0.000 0.070
Ru 1.495 0.000 2.184
Zn 0.000 0.000 4.269
```

Summary:
total energy	-37.8266	eV per atom
ΔE_f	0.255	eV per atom
space group	Imm2 (44)


First-principles (SCAN) data for a PBEsol-optimized structure of VGaFeCo, as listed in the Alexandria database.

Cell and atoms, written as extended XYZ:
```
4
Lattice="3.999 0.000 0.000 2.000 3.464 0.000 2.000 1.155 3.265" Properties=species:S:1:pos:R:3 pbc="T T T"
Co 2.000 1.155 0.816
Fe 5.999 3.464 2.449
Ga 0.000 0.000 0.000
V 3.999 2.309 1.633
```

Summary:
total energy	-17.5941	eV per atom
ΔE_f	-0.277	eV per atom
space group	F-43m (216)